Sm2ErBr: relaxed, PBE.

Lattice parameters (Å, degrees): 3.673 3.673 10.646 80.07 80.07 60.00
Positions (direct):
Sm: 0.257 0.257 0.229
Sm: 0.743 0.743 0.771
Br: 0.000 0.000 0.000
Er: 0.500 0.500 0.500

## Properties
* uncorrected formation energy: -12.32 kcal/mol of atoms
* total magnetization: 0.00 μB/f.u.
* calculated total energy: -4.453 eV/atom

---

Cr3ReMo: relaxed, PBE.

Lattice parameters (Å, degrees): 4.414 4.414 4.414 90.00 90.00 90.00
Positions (direct):
Mo: 0.500 0.500 0.500
Re: 0.000 0.000 0.000
Cr: 0.500 0.000 0.000
Cr: 0.000 0.500 0.000
Cr: 0.000 0.000 0.500

## Properties
* DFT formation energy: 1.783 eV/atom
* total magnetization: 0.00 μB/f.u.
* calculated total energy: -8.647 eV/atom

---

In2Pb3: relaxed, PBE.

Lattice parameters (Å, degrees): 9.236 9.236 6.758 46.89 46.89 60.00
Positions (direct):
Pb: 0.250 0.564 0.250
Pb: 0.564 0.936 0.250
Pb: 0.936 0.250 0.250
Pb: 0.750 0.436 0.750
Pb: 0.436 0.064 0.750
Pb: 0.064 0.750 0.750
In: 0.622 0.622 0.135
In: 0.378 0.378 0.865
In: 0.878 0.878 0.365
In: 0.122 0.122 0.635

## Properties
* DFT formation energy: 0.084 eV/atom
* total magnetization: 0.00 μB/f.u.
* calculated total energy: -3.236 eV/atom

---

Na3Ho3AsS8: relaxed, PBE.

Lattice parameters (Å, degrees): 7.803 7.803 8.105 118.79 90.00 120.00
Positions (direct):
S: 0.742 0.484 0.726
S: 0.226 0.987 0.712
S: 0.774 0.549 0.288
S: 0.774 0.013 0.288
S: 0.258 0.516 0.274
S: 0.226 0.451 0.712
S: 0.761 0.987 0.712
S: 0.239 0.013 0.288
Ho: 0.500 0.500 0.500
Ho: 0.500 0.000 0.500
Ho: 0.000 0.500 0.500
As: 0.000 0.000 0.500
Na: 0.000 0.500 0.000
Na: 0.500 0.500 0.000
Na: 0.000 0.000 0.000

## Properties
* uncorrected formation energy: -33.12 kcal/mol of atoms
* total magnetization: 0.00 μB/f.u.
* calculated total energy: -5.127 eV/atom

---

Pm2YHo: relaxed, PBE.

Lattice parameters (Å, degrees): 3.604 3.604 10.156 90.00 90.00 90.00
Positions (direct):
Y: 0.500 0.500 0.500
Ho: 0.500 0.500 0.000
Pm: 0.000 0.000 0.248
Pm: 0.000 0.000 0.752

## Properties
* DFT formation energy: 0.019 eV/atom
* total magnetization: 0.00 μB/f.u.
* calculated total energy: -5.117 eV/atom

---

MgHN2F: relaxed, PBE.

Lattice parameters (Å, degrees): 4.556 4.556 3.885 90.00 90.00 90.00
Positions (direct):
F: 0.000 0.000 0.500
H: 0.500 0.500 0.500
N: 0.000 0.500 0.000
N: 0.500 0.000 0.000
Mg: 0.000 0.000 0.000

## Properties
* total magnetization: 6.00 μB/f.u.
* calculated total energy: -3.587 eV/atom

---

MnSbAu2: relaxed, PBE.

Lattice parameters (Å, degrees): 7.731 7.731 6.117 50.81 50.81 90.00
Positions (direct):
Mn: 0.250 0.750 0.500
Mn: 0.500 0.500 0.000
Sb: 0.000 0.000 0.000
Sb: 0.750 0.250 0.500
Au: 0.613 0.125 0.250
Au: 0.875 0.863 0.750
Au: 0.137 0.625 0.250
Au: 0.375 0.387 0.750

## Properties
* uncorrected formation energy: 3.20 kcal/mol of atoms
* total magnetization: 3.82 μB/f.u.
* calculated total energy: -4.823 eV/atom

---

VCuP2Pb: relaxed, PBE.

Lattice parameters (Å, degrees): 4.543 4.852 4.543 90.00 90.00 90.00
Positions (direct):
Pb: 0.500 0.500 0.500
V: 0.000 0.000 0.000
P: 0.500 0.000 0.000
P: 0.000 0.000 0.500
Cu: 0.000 0.500 0.000

## Properties
* DFT formation energy: 0.280 eV/atom
* total magnetization: 0.00 μB/f.u.
* calculated total energy: -5.268 eV/atom

---

K2AlAuI6: relaxed, PBE.

Lattice parameters (Å, degrees): 8.188 8.188 8.188 60.00 60.00 60.00
Positions (direct):
Au: 0.500 0.500 0.500
K: 0.750 0.750 0.750
K: 0.250 0.250 0.250
I: 0.243 0.243 0.757
I: 0.243 0.757 0.757
I: 0.243 0.757 0.243
I: 0.757 0.757 0.243
I: 0.757 0.243 0.757
I: 0.757 0.243 0.243
Al: 0.000 0.000 0.000

## Properties
* uncorrected formation energy: -16.62 kcal/mol of atoms
* total magnetization: 0.00 μB/f.u.
* calculated total energy: -2.572 eV/atom

---

Tb3Pm2Pr6Nd: relaxed, PBE.

Lattice parameters (Å, degrees): 6.362 6.362 12.072 95.03 95.03 120.02
Positions (direct):
Pr: 0.249 0.249 0.747
Pr: 0.916 0.582 0.747
Pr: 0.582 0.916 0.747
Pr: 0.751 0.751 0.253
Pr: 0.418 0.084 0.253
Pr: 0.084 0.418 0.253
Tb: 0.167 0.833 0.500
Tb: 0.833 0.167 0.500
Tb: 0.500 0.500 0.500
Pm: 0.667 0.333 0.000
Pm: 0.333 0.667 0.000
Nd: 0.000 0.000 0.000

## Properties
* DFT formation energy: 0.012 eV/atom
* total magnetization: 0.00 μB/f.u.
* calculated total energy: -4.724 eV/atom

---

YMg2Zn: relaxed, PBE.

Lattice parameters (Å, degrees): 4.255 4.255 11.401 79.24 79.24 90.00
Positions (direct):
Mg: 0.375 0.393 0.750
Mg: 0.875 0.857 0.750
Mg: 0.607 0.125 0.250
Mg: 0.143 0.625 0.250
Y: 0.000 0.000 0.000
Y: 0.750 0.250 0.500
Zn: 0.500 0.500 0.000
Zn: 0.250 0.750 0.500

## Properties
* DFT formation energy: 0.107 eV/atom
* total magnetization: 0.00 μB/f.u.
* calculated total energy: -2.625 eV/atom

---

CdCu2Au: relaxed, PBE.

Lattice parameters (Å, degrees): 4.996 4.996 4.093 65.44 65.44 43.48
Positions (direct):
Cu: 0.011 0.011 0.989
Cu: 0.740 0.740 0.760
Au: 0.494 0.494 0.505
Cd: 0.255 0.255 0.245

## Properties
* DFT formation energy: -0.015 eV/atom
* total magnetization: 0.00 μB/f.u.
* calculated total energy: -3.111 eV/atom